[1]
Material: SnGe2As2
Method: DFT, PBE-GGA
State: relaxed

E_form, eV/atom: 0.243
Polymorph energy (0 for the lowest one), eV/f.u.: 0.06
N(E_F), states/eV/f.u.: 2.166

Cell lengths 3.9457, 3.9457, 14.3098 Å; angles 90.00, 90.00, 90.00 degrees
Closest atoms and distances in Å follow each position.
Space group I4/mmm (No. 139)
Unique sites:
Sn 0.0000 0.0000 0.0000  8 As 3.13
Ge 0.0000 0.5000 0.2500  4 Ge 2.79, 4 As 2.92
As 0.0000 0.0000 0.4004  1 As 2.85, 4 Ge 2.92, 4 Sn 3.13

---

[2]
Material: SnGe2As4
Method: DFT, PBE-GGA
State: relaxed

E_form, eV/atom: -0.003
N(E_F), states/eV/f.u.: 0.851

Cell lengths 5.5865, 5.5865, 5.7627 Å; angles 90.00, 90.00, 90.00 degrees
Closest atoms and distances in Å follow each position.
Space group P-42m (No. 111)
Unique sites:
Sn 0.0000 0.0000 0.0000  4 As 2.67
Ge 0.0000 0.5000 0.5000  4 As 2.52
As 0.2911 0.2911 0.2347  2 Ge 2.52, 1 Sn 2.67

---

[3]
Material: SnGe2As
Method: DFT, PBE-GGA
State: relaxed

E_form, eV/atom: 0.488
Polymorph energy (0 for the lowest one), eV/f.u.: 1.38
N(E_F), states/eV/f.u.: 2.123

Cell lengths 4.2968, 4.2968, 22.4169 Å; angles 90.00, 90.00, 120.00 degrees
Closest atoms and distances in Å follow each position.
Space group R-3m (No. 166, hexagonal axes)
Unique sites:
Sn 0.0000 0.0000 0.0000  6 Ge 2.84
Ge 0.0000 0.0000 0.3949  1 As 2.36
As 0.0000 0.0000 0.5000  2 Ge 2.36

---

[4]
Material: Sn3GeAs4
Method: DFT, PBE-GGA
State: relaxed

E_form, eV/atom: 0.019
N(E_F), states/eV/f.u.: 1.753

Cell lengths 9.7472, 8.1038, 5.7112 Å; angles 90.00, 90.00, 90.00 degrees
Closest atoms and distances in Å follow each position.
Space group Pmn2_1 (No. 31)
Unique sites:
Sn 0.0000 0.1677 0.9999  5 As 2.76-2.88
Sn 0.2480 0.3319 0.5000  5 As 2.77-2.88
Ge 0.0000 0.8299 0.4736  4 As 2.61-2.66
As 0.0000 0.1551 0.5040  1 Ge 2.64, 4 Sn 2.81-2.88
As 0.0000 0.8270 0.0164  1 Ge 2.61, 3 Sn 2.76-2.77
As 0.2413 0.6777 0.5037  1 Ge 2.66, 4 Sn 2.80-2.88

---

[5]
Material: Sn2GeAs
Method: DFT, PBE-GGA
State: relaxed

E_form, eV/atom: 0.326
Polymorph energy (0 for the lowest one), eV/f.u.: 0.97
N(E_F), states/eV/f.u.: 1.627

Cell lengths 3.5864, 3.5864, 28.7795 Å; angles 90.00, 90.00, 120.00 degrees
Closest atoms and distances in Å follow each position.
Space group R-3m (No. 166, hexagonal axes)
Unique sites:
Sn 0.0000 0.0000 0.0995  3 As 2.83, 1 Ge 2.86
Ge 0.0000 0.0000 0.0000  2 Sn 2.86
As 0.0000 0.0000 0.5000  6 Sn 2.83

---

[6]
Material: SnGeAs3
Method: DFT, PBE-GGA
State: relaxed

E_form, eV/atom: 0.086
Polymorph energy (0 for the lowest one), eV/f.u.: 0.02
N(E_F), states/eV/f.u.: 1.208

Cell lengths 8.1534, 3.8323, 8.2660 Å; angles 90.00, 98.31, 90.00 degrees
Closest atoms and distances in Å follow each position.
Space group P2_1/m (No. 11)
Unique sites:
Sn 0.2062 0.2500 0.1657  3 As 2.78-2.84
Ge 0.3100 0.7500 0.6933  4 As 2.48-2.51
As 0.0841 0.7500 0.4516  1 Ge 2.51, 2 As 2.55
As 0.1434 0.7500 0.9215  1 Ge 2.48
As 0.4949 0.2500 0.6441  2 Ge 2.51